No. 1
The following is a DFT calculation (PBE) of crystalline NbHgIr at its relaxed geometry.

Values from the calculation:
**ΔE to the lowest computed polymorph**: 250 meV per atom

Cell lengths 4.4633, 4.4633, 4.4633 Å; angles 60.00, 60.00, 60.00 degrees
Last column: nearest neighbours and their distance in Å.
Fractional coordinates of all 3 atoms:
Nb (0.0000, 0.0000, 0.0000)  4 Hg 2.73, 4 Ir 2.73
Hg (0.2500, 0.2500, 0.2500)  4 Nb 2.73
Ir (0.7500, 0.7500, 0.7500)  4 Nb 2.73

No. 2
The following is a DFT calculation (PBE) of crystalline Nb2HgIr at its relaxed geometry.

Values from the calculation:
**Energy**: -7.15 eV per atom

Cell lengths 4.6370, 4.6370, 4.6370 Å; angles 60.00, 60.00, 60.00 degrees
Last column: nearest neighbours and their distance in Å.
Fractional coordinates of all 4 atoms:
Nb (0.0000, 0.0000, 0.0000)  4 Hg 2.84, 4 Nb 2.84
Nb (0.2500, 0.2500, 0.2500)  4 Ir 2.84, 4 Nb 2.84
Hg (0.7500, 0.7500, 0.7500)  4 Ir 2.84, 4 Nb 2.84
Ir (0.5000, 0.5000, 0.5000)  4 Hg 2.84, 4 Nb 2.84

No. 3
The following is a DFT calculation (PBE) of crystalline NbHg2Ir at its relaxed geometry.

Values from the calculation:
**Energy**: -4.57 eV per atom

Cell lengths 4.6966, 4.6966, 4.6966 Å; angles 60.00, 60.00, 60.00 degrees
Last column: nearest neighbours and their distance in Å.
Fractional coordinates of all 4 atoms:
Nb (0.0000, 0.0000, 0.0000)  4 Hg 2.88, 4 Ir 2.88
Hg (0.5000, 0.5000, 0.5000)  4 Hg 2.88, 4 Ir 2.88
Hg (0.7500, 0.7500, 0.7500)  4 Hg 2.88, 4 Nb 2.88
Ir (0.2500, 0.2500, 0.2500)  4 Hg 2.88, 4 Nb 2.88

No. 4
The following is a DFT calculation (PBE) of crystalline NbHgIr at its relaxed geometry.

Values from the calculation:
**ΔE to the lowest computed polymorph**: 0 meV per atom

Cell lengths 4.4374, 4.4374, 4.4374 Å; angles 60.00, 60.00, 60.00 degrees
Last column: nearest neighbours and their distance in Å.
Fractional coordinates of all 3 atoms:
Nb (0.0000, 0.0000, 0.0000)  4 Ir 2.72
Hg (0.5000, 0.5000, 0.5000)  4 Ir 2.72
Ir (0.7500, 0.7500, 0.7500)  4 Hg 2.72, 4 Nb 2.72

No. 5
The following is a DFT calculation (PBE) of crystalline NiHgIrPb at its relaxed geometry.

Values from the calculation:
**Energy**: -3.98 eV per atom

Cell lengths 4.7070, 4.7070, 4.7070 Å; angles 60.00, 60.00, 60.00 degrees
Last column: nearest neighbours and their distance in Å.
Fractional coordinates of all 4 atoms:
Ni (0.0000, 0.0000, 0.0000)  4 Pb 2.88, 4 Ir 2.88
Hg (0.5000, 0.5000, 0.5000)  4 Pb 2.88, 4 Ir 2.88
Ir (0.2500, 0.2500, 0.2500)  4 Hg 2.88, 4 Ni 2.88
Pb (0.7500, 0.7500, 0.7500)  4 Hg 2.88, 4 Ni 2.88

No. 6
The following is a DFT calculation (PBE) of crystalline NiSnHgIr at its relaxed geometry.

Values from the calculation:
**Energy**: -4.21 eV per atom

Cell lengths 4.5997, 4.5997, 4.5997 Å; angles 60.00, 60.00, 60.00 degrees
Last column: nearest neighbours and their distance in Å.
Fractional coordinates of all 4 atoms:
Ni (0.0000, 0.0000, 0.0000)  4 Sn 2.82, 4 Ir 2.82
Sn (0.7500, 0.7500, 0.7500)  4 Hg 2.82, 4 Ni 2.82
Hg (0.5000, 0.5000, 0.5000)  4 Sn 2.82, 4 Ir 2.82
Ir (0.2500, 0.2500, 0.2500)  4 Hg 2.82, 4 Ni 2.82

No. 7
The following is a DFT calculation (PBE) of crystalline ZnNiHgIr at its relaxed geometry.

Values from the calculation:
**Energy**: -3.69 eV per atom

Cell lengths 4.4139, 4.4139, 4.4139 Å; angles 60.00, 60.00, 60.00 degrees
Last column: nearest neighbours and their distance in Å.
Fractional coordinates of all 4 atoms:
Zn (0.0000, 0.0000, 0.0000)  4 Hg 2.70, 4 Ni 2.70
Ni (0.2500, 0.2500, 0.2500)  4 Ir 2.70, 4 Zn 2.70
Hg (0.7500, 0.7500, 0.7500)  4 Zn 2.70, 4 Ir 2.70
Ir (0.5000, 0.5000, 0.5000)  4 Hg 2.70, 4 Ni 2.70

No. 8
The following is a DFT calculation (PBE) of crystalline NpHgIr at its relaxed geometry.

Values from the calculation:
**ΔE to the lowest computed polymorph**: 0 meV per atom

Cell lengths 4.6256, 4.6256, 4.6256 Å; angles 60.00, 60.00, 60.00 degrees
Last column: nearest neighbours and their distance in Å.
Fractional coordinates of all 3 atoms:
Np (0.0000, 0.0000, 0.0000)  4 Ir 2.83
Hg (0.5000, 0.5000, 0.5000)  4 Ir 2.83
Ir (0.7500, 0.7500, 0.7500)  4 Np 2.83, 4 Hg 2.83

No. 9
The following is a DFT calculation (PBE) of crystalline Hg2Ir2O5 at its relaxed geometry.

Values from the calculation:
**ΔE to the lowest computed polymorph**: 0 meV per atom

Cell lengths 3.8849, 3.8849, 8.0974 Å; angles 90.00, 90.00, 90.00 degrees
Last column: nearest neighbours and their distance in Å.
Fractional coordinates of all 9 atoms:
Hg (0.0000, 0.0000, 0.0000)  8 O 2.56
Hg (0.0000, 0.0000, 0.5000)  12 O 2.75-3.08
Ir (0.5000, 0.5000, 0.2381)  5 O 1.96-2.12
Ir (0.5000, 0.5000, 0.7619)  5 O 1.96-2.12
O (0.0000, 0.5000, 0.2054)  2 Ir 1.96
O (0.0000, 0.5000, 0.7946)  2 Ir 1.96
O (0.5000, 0.0000, 0.2054)  2 Ir 1.96
O (0.5000, 0.0000, 0.7946)  2 Ir 1.96
O (0.5000, 0.5000, 0.5000)  2 Ir 2.12

No. 10
The following is a DFT calculation (PBE) of crystalline Hg2Ir2O5 at its relaxed geometry.

Values from the calculation:
**ΔE to the lowest computed polymorph**: 268 meV per atom

Cell lengths 3.3844, 3.3844, 10.1297 Å; angles 90.00, 90.00, 90.00 degrees
Last column: nearest neighbours and their distance in Å.
Fractional coordinates of all 9 atoms:
Hg (0.0000, 0.0000, 0.2227)  5 O 2.26-2.37
Hg (0.0000, 0.0000, 0.7773)  5 O 2.26-2.37
Ir (0.5000, 0.5000, 0.0000)  4 O 2.39
Ir (0.5000, 0.5000, 0.5000)  8 O 2.05
O (0.0000, 0.0000, 0.0000)  2 Hg 2.26, 4 Ir 2.39
O (0.0000, 0.5000, 0.3861)  2 Ir 2.05
O (0.0000, 0.5000, 0.6139)  2 Ir 2.05
O (0.5000, 0.0000, 0.3861)  2 Ir 2.05
O (0.5000, 0.0000, 0.6139)  2 Ir 2.05

No. 11
The following is a DFT calculation (PBE) of crystalline HgPIrO at its relaxed geometry.

Values from the calculation:
**ΔE to the lowest computed polymorph**: 455 meV per atom

Cell lengths 4.2229, 4.2229, 8.6937 Å; angles 90.00, 90.00, 90.00 degrees
Last column: nearest neighbours and their distance in Å.
Fractional coordinates of all 8 atoms:
Hg (0.2500, 0.7500, 0.0000)  4 P 2.69, 4 Hg 2.99
Hg (0.7500, 0.2500, 0.0000)  4 P 2.69, 4 Hg 2.99
P (0.2500, 0.2500, 0.1915)  1 Ir 2.16
P (0.7500, 0.7500, 0.8085)  1 Ir 2.16
Ir (0.2500, 0.2500, 0.4400)  1 P 2.16, 4 O 2.17
Ir (0.7500, 0.7500, 0.5600)  1 P 2.16, 4 O 2.17
O (0.2500, 0.7500, 0.5000)  4 Ir 2.17
O (0.7500, 0.2500, 0.5000)  4 Ir 2.17

No. 12
The following is a DFT calculation (PBE) of crystalline HgPIrO at its relaxed geometry.

Values from the calculation:
**ΔE to the lowest computed polymorph**: 117 meV per atom

Cell lengths 4.0606, 4.0606, 7.9653 Å; angles 90.00, 90.00, 90.00 degrees
Last column: nearest neighbours and their distance in Å.
Fractional coordinates of all 8 atoms:
Hg (0.2500, 0.2500, 0.1248)  4 O 2.26
Hg (0.7500, 0.7500, 0.8752)  4 O 2.26
P (0.2500, 0.2500, 0.6574)  4 Ir 2.39
P (0.7500, 0.7500, 0.3426)  4 Ir 2.39
Ir (0.2500, 0.7500, 0.5000)  4 P 2.39
Ir (0.7500, 0.2500, 0.5000)  4 P 2.39
O (0.2500, 0.7500, 0.0000)  4 Hg 2.26
O (0.7500, 0.2500, 0.0000)  4 Hg 2.26